Here is a geometry-optimized K2RuAu structure from Alexandria. Energies are from PBE.

Results
ΔH_f (0 K)   795.8 meV/atom
Raw total energy   -23.1 eV/cell
Magnetic moment   0.00 μB/f.u.

a = 11.149 Å, b = 2.803 Å, c = 5.705 Å
α = 90.00°, β = 95.14°, γ = 90.00°
Space group C2/m (No. 12)
Asymmetric unit:
K 0.249 0.000 0.249
Ru 0.000 0.500 0.000
Au 0.000 0.000 0.500

***

Here is a geometry-optimized KRu2Au structure from Alexandria. Energies are from PBE.

Results
ΔH_f (0 K)   940.5 meV/atom
Raw total energy   -19.2 eV/cell
Magnetic moment   0.00 μB/f.u.

a = 2.719 Å, b = 2.719 Å, c = 9.932 Å
α = 90.00°, β = 90.00°, γ = 90.00°
Space group P4/mmm (No. 123)
Asymmetric unit:
K 0.000 0.000 0.000
Ru 0.500 0.500 0.285
Au 0.000 0.000 0.500

***

Here is a geometry-optimized KRu3Au structure from Alexandria. Energies are from PBE.

Results
ΔH_f (0 K)   1915.8 meV/atom
Raw total energy   -22.6 eV/cell
Magnetic moment   6.43 μB/f.u.

a = 5.038 Å, b = 5.038 Å, c = 5.038 Å
α = 90.00°, β = 90.00°, γ = 90.00°
Space group Pm-3m (No. 221)
Asymmetric unit:
K 0.000 0.000 0.000
Ru 0.000 0.500 0.500
Au 0.500 0.500 0.500

***

Here is a geometry-optimized KRu2Au structure from Alexandria. Energies are from PBE.

Results
ΔH_f (0 K)   1138.3 meV/atom
Raw total energy   -36.7 eV/cell
Magnetic moment   0.02 μB/f.u.

a = 4.650 Å, b = 4.650 Å, c = 6.674 Å
α = 90.00°, β = 90.00°, γ = 90.00°
Space group I-4m2 (No. 119)
Asymmetric unit:
K 0.000 0.000 0.000
Ru 0.000 0.000 0.500
Ru 0.000 0.500 0.750
Au 0.000 0.500 0.250

***

Here is a geometry-optimized KRu2Au structure from Alexandria. Energies are from PBE.

Results
ΔH_f (0 K)   775.9 meV/atom
Raw total energy   -39.6 eV/cell
Magnetic moment   0.00 μB/f.u.

a = 11.813 Å, b = 2.758 Å, c = 5.732 Å
α = 90.00°, β = 111.77°, γ = 90.00°
Space group C2/m (No. 12)
Asymmetric unit:
K 0.000 0.000 0.000
Ru 0.214 0.000 0.637
Au 0.000 0.500 0.500

***

Here is a geometry-optimized K2RuAu structure from Alexandria. Energies are from PBE.

Results
ΔH_f (0 K)   610.7 meV/atom
Raw total energy   -24.6 eV/cell
Magnetic moment   0.81 μB/f.u.

a = 12.732 Å, b = 2.788 Å, c = 6.196 Å
α = 90.00°, β = 106.68°, γ = 90.00°
Space group Cm (No. 8)
Asymmetric unit:
K 0.000 0.000 0.000
K 0.198 0.000 0.607
Ru 0.429 0.000 0.452
Au 0.266 0.500 0.148

***

Here is a geometry-optimized K2RuAu structure from Alexandria. Energies are from PBE.

Results
ΔH_f (0 K)   765.5 meV/atom
Raw total energy   -23.4 eV/cell
Magnetic moment   0.00 μB/f.u.

a = 6.209 Å, b = 10.587 Å, c = 2.818 Å
α = 90.00°, β = 90.00°, γ = 90.00°
Space group Cmmm (No. 65)
Asymmetric unit:
K 0.250 0.250 0.000
Ru 0.000 0.000 0.500
Au 0.000 0.500 0.500

***

Here is a geometry-optimized KRu2Au structure from Alexandria. Energies are from PBE.

Results
ΔH_f (0 K)   1346.2 meV/atom
Raw total energy   -70.2 eV/cell
Magnetic moment   3.98 μB/f.u.

a = 6.675 Å, b = 6.675 Å, c = 6.675 Å
α = 90.00°, β = 90.00°, γ = 90.00°
Space group Fm-3m (No. 225)
Asymmetric unit:
K 0.000 0.000 0.000
Ru 0.250 0.250 0.250
Au 0.000 0.000 0.500

***

Here is a geometry-optimized K2RuAu structure from Alexandria. Energies are from PBE.

Results
ΔH_f (0 K)   1016.9 meV/atom
Raw total energy   -42.7 eV/cell
Magnetic moment   2.88 μB/f.u.

a = 7.853 Å, b = 7.853 Å, c = 7.853 Å
α = 90.00°, β = 90.00°, γ = 90.00°
Space group Fm-3m (No. 225)
Asymmetric unit:
K 0.250 0.250 0.250
Ru 0.000 0.000 0.000
Au 0.000 0.000 0.500

***

Here is a geometry-optimized KRuAu3 structure from Alexandria. Energies are from PBE.

Results
ΔH_f (0 K)   453.6 meV/atom
Raw total energy   -17.9 eV/cell
Magnetic moment   2.27 μB/f.u.

a = 5.152 Å, b = 5.152 Å, c = 5.152 Å
α = 90.00°, β = 90.00°, γ = 90.00°
Space group Pm-3m (No. 221)
Asymmetric unit:
K 0.000 0.000 0.000
Ru 0.500 0.500 0.500
Au 0.000 0.500 0.500

***

Here is a geometry-optimized KRu2Au structure from Alexandria. Energies are from PBE.

Results
ΔH_f (0 K)   567.3 meV/atom
Raw total energy   -41.3 eV/cell
Magnetic moment   0.00 μB/f.u.

a = 8.061 Å, b = 2.744 Å, c = 7.825 Å
α = 90.00°, β = 93.73°, γ = 90.00°
Space group Cm (No. 8)
Asymmetric unit:
K 0.000 0.000 0.000
Ru 0.011 0.500 0.456
Ru 0.264 0.500 0.331
Au 0.240 0.000 0.685

***

Here is a geometry-optimized K2RuAu structure from Alexandria. Energies are from PBE.

Results
ΔH_f (0 K)   764.4 meV/atom
Raw total energy   -11.7 eV/cell
Magnetic moment   0.00 μB/f.u.

a = 2.828 Å, b = 5.318 Å, c = 6.137 Å
α = 90.00°, β = 91.02°, γ = 90.00°
Space group P2/m (No. 10)
Asymmetric unit:
K 0.001 0.000 0.253
Ru 0.500 0.500 0.500
Au 0.500 0.500 0.000

***

Here is a geometry-optimized K2RuAu structure from Alexandria. Energies are from PBE.

Results
ΔH_f (0 K)   818.5 meV/atom
Raw total energy   -22.9 eV/cell
Magnetic moment   2.33 μB/f.u.

a = 5.267 Å, b = 5.267 Å, c = 7.436 Å
α = 90.00°, β = 90.00°, γ = 90.00°
Space group I-4m2 (No. 119)
Asymmetric unit:
K 0.000 0.000 0.000
K 0.000 0.500 0.250
Ru 0.000 0.000 0.500
Au 0.000 0.500 0.750

***

Here is a geometry-optimized KRu4Au structure from Alexandria. Energies are from PBE.

Results
ΔH_f (0 K)   949.3 meV/atom
Raw total energy   -143.1 eV/cell
Magnetic moment   3.93 μB/f.u.

a = 7.496 Å, b = 7.496 Å, c = 7.496 Å
α = 90.00°, β = 90.00°, γ = 90.00°
Space group F-43m (No. 216)
Asymmetric unit:
K 0.000 0.000 0.000
Ru 0.125 0.125 0.625
Au 0.250 0.250 0.250

***

Here is a geometry-optimized KRu2Au structure from Alexandria. Energies are from PBE.

Results
ΔH_f (0 K)   905.4 meV/atom
Raw total energy   -38.6 eV/cell
Magnetic moment   2.43 μB/f.u.

a = 2.751 Å, b = 5.402 Å, c = 10.732 Å
α = 90.00°, β = 90.00°, γ = 90.00°
Space group Imm2 (No. 44)
Asymmetric unit:
K 0.000 0.000 0.000
Ru 0.000 0.000 0.520
Ru 0.000 0.500 0.214
Au 0.000 0.500 0.787

***

no.,DOS(E_F) (states/eV/f.u.)
1,2.25
2,5.71
3,9.67
4,4.60
5,4.51
6,3.97
7,3.79
8,3.46
9,5.95
10,2.82
11,3.82
12,3.50
13,4.15
14,8.47
15,5.04